Here is an optimized crystal structure of Rb3TiAl from the Alexandria database. Energies are from PBE.

a = 6.846 Å, b = 6.846 Å, c = 6.846 Å
α = 90.00°, β = 90.00°, γ = 90.00°
Last column: magnetic moment on the atom in μB.
Atoms (fractional coordinates):
Al: 0.500 0.500 0.500  0.02
Rb: 0.000 0.500 0.000  0.04
Rb: 0.000 0.000 0.500  0.04
Rb: 0.500 0.000 0.000  0.03
Ti: 0.000 0.000 0.000  2.26

Values from the calculation:
energy relative to the lowest polymorph listed for this composition: 0.0000 eV/atom
ΔH_f (0 K): 6.2 eV/f.u.

---

Here is an optimized crystal structure of RbTiAl from the Alexandria database. Energies are from PBE.

a = 4.620 Å, b = 4.620 Å, c = 12.250 Å
α = 90.00°, β = 90.00°, γ = 120.00°
Last column: magnetic moment on the atom in μB.
Atoms (fractional coordinates):
Al: 0.333 0.667 0.250  0.06
Al: 0.667 0.333 0.750  0.06
Rb: 0.000 0.000 0.000  0.01
Rb: 0.000 0.000 0.500  0.01
Ti: 0.333 0.667 0.750  1.31
Ti: 0.667 0.333 0.250  1.31

Values from the calculation:
energy relative to the lowest polymorph listed for this composition: 0.7982 eV/atom
ΔH_f (0 K): 2.7 eV/f.u.

---

Here is an optimized crystal structure of RbTiAl from the Alexandria database. Energies are from PBE.

a = 5.430 Å, b = 5.430 Å, c = 6.003 Å
α = 90.00°, β = 90.00°, γ = 120.00°
Atoms (fractional coordinates):
Al: 0.333 0.667 0.999
Al: 0.667 0.333 0.499
Rb: 0.000 0.000 0.752
Rb: 0.000 0.000 0.252
Ti: 0.333 0.667 0.499
Ti: 0.667 0.333 0.999

Values from the calculation:
energy relative to the lowest polymorph listed for this composition: 0.7956 eV/atom
ΔH_f (0 K): 2.7 eV/f.u.

---

Here is an optimized crystal structure of RbTi2Al from the Alexandria database. Energies are from PBE.

a = 4.847 Å, b = 4.847 Å, c = 10.826 Å
α = 77.07°, β = 77.07°, γ = 90.00°
Atoms (fractional coordinates):
Al: 0.500 0.500 0.000
Al: 0.250 0.750 0.500
Rb: 0.000 0.000 0.000
Rb: 0.750 0.250 0.500
Ti: 0.345 0.125 0.250
Ti: 0.405 0.625 0.250
Ti: 0.375 0.655 0.750
Ti: 0.875 0.595 0.750

Values from the calculation:
ΔH_f (0 K): 4.4 eV/f.u.

---

Here is an optimized crystal structure of RbTiAl2 from the Alexandria database. Energies are from PBE.

a = 5.136 Å, b = 5.136 Å, c = 5.136 Å
α = 60.00°, β = 60.00°, γ = 60.00°
Last column: magnetic moment on the atom in μB.
Atoms (fractional coordinates):
Al: 0.250 0.250 0.250  -0.01
Al: 0.750 0.750 0.750  -0.01
Rb: 0.500 0.500 0.500  0.01
Ti: 0.000 0.000 0.000  0.79

Values from the calculation:
energy relative to the lowest polymorph listed for this composition: 0.0314 eV/atom
ΔH_f (0 K): 3.2 eV/f.u.

---

Here is an optimized crystal structure of RbTiAl from the Alexandria database. Energies are from PBE.

a = 4.799 Å, b = 4.957 Å, c = 9.140 Å
α = 90.00°, β = 90.00°, γ = 90.00°
Atoms (fractional coordinates):
Al: 0.000 0.500 0.555
Al: 0.000 0.000 0.464
Rb: 0.000 0.000 0.886
Rb: 0.500 0.500 0.220
Ti: 0.500 0.219 0.579
Ti: 0.500 0.781 0.579

Values from the calculation:
energy relative to the lowest polymorph listed for this composition: 0.2610 eV/atom
ΔH_f (0 K): 1.1 eV/f.u.

---

Here is an optimized crystal structure of RbTiAl from the Alexandria database. Energies are from PBE.

a = 6.844 Å, b = 5.776 Å, c = 6.222 Å
α = 62.56°, β = 56.69°, γ = 89.99°
Last column: magnetic moment on the atom in μB.
Atoms (fractional coordinates):
Al: 0.878 0.795 0.818  0.00
Al: 0.314 0.795 0.819  0.00
Rb: 0.714 0.413 0.583  0.02
Rb: 0.946 0.146 0.119  0.02
Ti: 0.335 0.805 0.341  1.14
Ti: 0.333 0.256 0.345  1.15

Values from the calculation:
energy relative to the lowest polymorph listed for this composition: 0.5782 eV/atom
ΔH_f (0 K): 2.1 eV/f.u.

---

Here is an optimized crystal structure of RbTiAl3 from the Alexandria database. Energies are from PBE.

a = 5.243 Å, b = 5.243 Å, c = 5.243 Å
α = 90.00°, β = 90.00°, γ = 90.00°
Last column: magnetic moment on the atom in μB.
Atoms (fractional coordinates):
Al: 0.000 0.500 0.000  0.04
Al: 0.000 0.000 0.500  0.02
Al: 0.500 0.000 0.000  0.06
Rb: 0.500 0.500 0.500  0.00
Ti: 0.000 0.000 0.000  1.11

Values from the calculation:
energy relative to the lowest polymorph listed for this composition: 0.0000 eV/atom
ΔH_f (0 K): 2.6 eV/f.u.

---

Question: Number 7 is which compound?
Answer: RbTiAl